(1)
The following is a PBE-GGA calculation of a geometry-optimized LiMg2Pt structure, from Alexandria via LeMat-Bulk.

Unit cell a=3.9843 b=4.0009 c=8.3349 alpha=90.00 beta=90.00 gamma=90.00
Fractional coordinates of all 8 atoms:
Li (0.0000, 0.0000, 0.0000)
Li (0.5000, 0.5000, 0.5000)
Mg (0.0000, 0.0000, 0.5009)
Mg (0.0000, 0.5000, 0.7505)
Mg (0.5000, 0.0000, 0.2505)
Mg (0.5000, 0.5000, 0.0009)
Pt (0.0000, 0.5000, 0.2508)
Pt (0.5000, 0.0000, 0.7508)

Computed properties:
- total magnetization (μB/cell) = 0.000
- uncorrected energy (eV per cell) = -26.4

=====

(2)
The following is a PBE-GGA calculation of a geometry-optimized NaTcAgSe2 structure, from Alexandria via LeMat-Bulk.

Unit cell a=5.1927 b=5.1927 c=5.1444 alpha=90.00 beta=90.00 gamma=90.00
Fractional coordinates of all 5 atoms:
Na (0.0000, 0.0000, 0.0000)
Tc (0.5000, 0.5000, 0.0000)
Ag (0.5000, 0.5000, 0.5000)
Se (0.0000, 0.5000, 0.5000)
Se (0.5000, 0.0000, 0.5000)

Computed properties:
- total magnetization (μB/cell) = 4.258
- uncorrected energy (eV per cell) = -17.6
- uncorrected formation energy (eV per atom) = 0.776

=====

(3)
The following is a PBE-GGA calculation of a geometry-optimized MnSb structure, from Alexandria via LeMat-Bulk.

Unit cell a=3.5215 b=3.5215 c=7.7585 alpha=90.00 beta=90.00 gamma=120.00
Fractional coordinates of all 4 atoms:
Mn (0.3333, 0.6667, 0.0566)
Mn (0.6667, 0.3333, 0.9434)
Sb (0.3333, 0.6667, 0.7093)
Sb (0.6667, 0.3333, 0.2907)

Computed properties:
- total magnetization (μB/cell) = 0.128
- uncorrected energy (eV per cell) = -25.1
- uncorrected formation energy (eV per atom) = 0.361

=====

(4)
The following is a PBE-GGA calculation of a geometry-optimized Hg2WAu structure, from Alexandria via LeMat-Bulk.

Unit cell a=4.3753 b=4.3753 c=8.1222 alpha=90.00 beta=90.00 gamma=90.00
Fractional coordinates of all 8 atoms:
Hg (0.0000, 0.5000, 0.2500)
Hg (0.0000, 0.5000, 0.7500)
Hg (0.5000, 0.0000, 0.2500)
Hg (0.5000, 0.0000, 0.7500)
W (0.0000, 0.0000, 0.0000)
W (0.5000, 0.5000, 0.5000)
Au (0.0000, 0.0000, 0.5000)
Au (0.5000, 0.5000, 0.0000)

Computed properties:
- total magnetization (μB/cell) = 4.605
- uncorrected energy (eV per cell) = -26.6

=====

(5)
The following is a PBE-GGA calculation of a geometry-optimized AlV3Cu structure, from Alexandria via LeMat-Bulk.

Unit cell a=4.4428 b=4.4428 c=4.4428 alpha=90.00 beta=90.00 gamma=90.00
Fractional coordinates of all 5 atoms:
Al (0.0000, 0.0000, 0.0000)
V (0.0000, 0.0000, 0.5000)
V (0.0000, 0.5000, 0.0000)
V (0.5000, 0.0000, 0.0000)
Cu (0.5000, 0.5000, 0.5000)

Computed properties:
- total magnetization (μB/cell) = 1.291
- uncorrected energy (eV per cell) = -28.1

=====

(6)
The following is a PBE-GGA calculation of a geometry-optimized Dy4CdRh2 structure, from Alexandria via LeMat-Bulk.

Unit cell a=8.5756 b=8.5756 c=6.8731 alpha=107.51 beta=107.51 gamma=120.80
Fractional coordinates of all 14 atoms:
Dy (0.0082, 0.9918, 0.5000)
Dy (0.0299, 0.4518, 0.2903)
Dy (0.3050, 0.8609, 0.1561)
Dy (0.4347, 0.5812, 0.8263)
Dy (0.4518, 0.0299, 0.7903)
Dy (0.5812, 0.4347, 0.3263)
Dy (0.8609, 0.3050, 0.6561)
Dy (0.9918, 0.0082, 0.0000)
Cd (0.5546, 0.7888, 0.4869)
Cd (0.7888, 0.5546, 0.9869)
Rh (0.0315, 0.7186, 0.6827)
Rh (0.2095, 0.3829, 0.0058)
Rh (0.3829, 0.2095, 0.5058)
Rh (0.7186, 0.0315, 0.1827)

Computed properties:
- total magnetization (μB/cell) = 0.000
- uncorrected energy (eV per cell) = -76.0

=====

(7)
The following is a PBE-GGA calculation of a geometry-optimized Pr4GaAsBr2 structure, from Alexandria via LeMat-Bulk.

Unit cell a=7.4767 b=4.3528 c=7.7395 alpha=90.00 beta=109.12 gamma=90.00
Fractional coordinates of all 8 atoms:
Pr (0.2371, 0.0000, 0.2179)
Pr (0.2601, 0.5000, 0.7855)
Pr (0.7399, 0.5000, 0.2145)
Pr (0.7629, 0.0000, 0.7821)
Ga (0.0000, 0.5000, 0.0000)
As (0.5000, 0.0000, 0.0000)
Br (0.0000, 0.0000, 0.5000)
Br (0.5000, 0.5000, 0.5000)

Computed properties:
- total magnetization (μB/cell) = 0.000
- uncorrected energy (eV per cell) = -39.6
- uncorrected formation energy (eV per atom) = -1.182

=====

(8)
The following is a PBE-GGA calculation of a geometry-optimized In6HgBr8 structure, from Alexandria via LeMat-Bulk.

Unit cell a=8.5458 b=8.5458 c=8.5458 alpha=71.48 beta=71.48 gamma=71.48
Fractional coordinates of all 15 atoms:
In (0.0298, 0.4562, 0.7931)
In (0.2069, 0.9702, 0.5438)
In (0.4562, 0.7931, 0.0298)
In (0.5438, 0.2069, 0.9702)
In (0.7931, 0.0298, 0.4562)
In (0.9702, 0.5438, 0.2069)
Hg (0.5000, 0.5000, 0.5000)
Br (0.1749, 0.1749, 0.1749)
Br (0.1766, 0.6535, 0.4136)
Br (0.3465, 0.5864, 0.8234)
Br (0.4136, 0.1766, 0.6535)
Br (0.5864, 0.8234, 0.3465)
Br (0.6535, 0.4136, 0.1766)
Br (0.8234, 0.3465, 0.5864)
Br (0.8251, 0.8251, 0.8251)

Computed properties:
- total magnetization (μB/cell) = 0.000
- uncorrected energy (eV per cell) = -39.0
- uncorrected formation energy (eV per atom) = -0.595